Computed, not measured: a geometry-optimized Pm2Al4Ir3Pt structure at the PBE-GGA level of DFT.

Cell: 4.2240 4.2240 10.4494 Å, 90.00 90.00 90.00°
Sites, in units of the cell vectors:
Pm1 0.0000 0.5000 0.2470
Pm2 0.5000 0.0000 0.7530
Al1 0.0000 0.0000 0.5000
Al2 0.0000 0.5000 0.8736
Al3 0.5000 0.0000 0.1264
Al4 0.5000 0.5000 0.5000
Ir1 0.0000 0.0000 0.0000
Ir2 0.0000 0.5000 0.6347
Ir3 0.5000 0.0000 0.3653
Pt1 0.5000 0.5000 0.0000

Output
energy relative to the elements = -90.4 kJ per mole of atoms
uncorrected energy = -6.647 eV/atom